Density functional theory data (PBE) for crystalline Pm2HoThP4 at its relaxed geometry.

Summary:
E_tot: -6.985 eV per atom
Density: 6.899 Mg/m³
Formation energy from the elements: -1593 meV/atom

Cell lengths 7.0877, 4.1062, 7.1115 Å; angles 90.00, 109.44, 90.00 degrees
Space group P2/m (No. 10)
Asymmetric unit:
Pm  0.0000  0.0000  0.0000 [1 per cell]
Pm  0.5000  0.5000  0.0000 [1 per cell]
Ho  0.0000  0.5000  0.5000 [1 per cell]
Th  0.5000  0.0000  0.5000 [1 per cell]
P  0.2449  0.0000  0.7430 [2 per cell]
P  0.2480  0.5000  0.2541 [2 per cell]

Density functional theory data (PBE) for crystalline Zn2AgMo at its relaxed geometry.

Summary:
E_tot: -3.729 eV per atom
Density: 8.644 Mg/m³
Formation energy from the elements: 329 meV/atom

Cell lengths 2.7172, 5.0339, 9.3996 Å; angles 90.00, 90.00, 90.00 degrees
Space group Immm (No. 71)
Asymmetric unit:
Zn  0.0000  0.0000  0.2467 [4 per cell]
Ag  0.0000  0.5000  0.5000 [2 per cell]
Mo  0.0000  0.5000  0.0000 [2 per cell]

Density functional theory data (PBE) for crystalline Pm12AlPb7 at its relaxed geometry.

Summary:
E_tot: -4.648 eV per atom
Density: 8.414 Mg/m³
Formation energy from the elements: -312 meV/atom

Cell lengths 15.0053, 15.0053, 9.7691 Å; angles 90.00, 90.00, 120.00 degrees
Space group R-3 (No. 148, hexagonal axes)
Asymmetric unit:
Pm  0.0355  0.7869  0.0729 [18 per cell]
Pm  0.0390  0.8720  0.7090 [18 per cell]
Al  0.0000  0.0000  0.5000 [3 per cell]
Pb  0.0000  0.0000  0.0000 [3 per cell]
Pb  0.0647  0.5953  0.0830 [18 per cell]

Density functional theory data (PBE) for crystalline Tl2NiSb at its relaxed geometry.

Summary:
ΔE_f (raw): 0.481 eV per atom
E_tot: -3.178 eV per atom
Density: 10.081 Mg/m³

Cell lengths 7.2950, 7.2950, 7.2950 Å; angles 90.00, 90.00, 90.00 degrees
Space group Fm-3m (No. 225)
Asymmetric unit:
Tl  0.2500  0.2500  0.2500 [8 per cell]
Ni  0.0000  0.0000  0.0000 [4 per cell]
Sb  0.0000  0.0000  0.5000 [4 per cell]

Density functional theory data (PBE) for crystalline Y6TmIn5 at its relaxed geometry.

Summary:
E_tot: -5.156 eV per atom
Density: 6.432 Mg/m³
Formation energy from the elements: -411 meV/atom

Cell lengths 4.9782, 8.7909, 15.0600 Å; angles 90.00, 90.00, 90.00 degrees
Space group Immm (No. 71)
Asymmetric unit:
Y  0.0000  0.2284  0.0000 [4 per cell]
Y  0.0000  0.2627  0.3301 [8 per cell]
Tm  0.0000  0.0000  0.5000 [2 per cell]
In  0.0000  0.0000  0.1762 [4 per cell]
In  0.0000  0.5000  0.1500 [4 per cell]
In  0.0000  0.5000  0.5000 [2 per cell]

Density functional theory data (PBE) for crystalline Tb9PrIn2 at its relaxed geometry.

Summary:
E_tot: -4.489 eV per atom
Density: 8.263 Mg/m³
Formation energy from the elements: -161 meV/atom

Cell lengths 4.8970, 4.8970, 15.0913 Å; angles 90.00, 90.00, 90.00 degrees
Space group P4/mmm (No. 123)
Asymmetric unit:
Tb  0.0000  0.0000  0.0000 [1 per cell]
Tb  0.0000  0.0000  0.3396 [2 per cell]
Tb  0.0000  0.5000  0.1757 [4 per cell]
Tb  0.0000  0.5000  0.5000 [2 per cell]
Pr  0.5000  0.5000  0.0000 [1 per cell]
In  0.5000  0.5000  0.3395 [2 per cell]

Density functional theory data (PBE) for crystalline Sm5Dy2Ho4 at its relaxed geometry.

Summary:
E_tot: -4.438 eV per atom
Density: 7.744 Mg/m³
Formation energy from the elements: 209 meV/atom

Cell lengths 3.5095, 9.0785, 23.3751 Å; angles 90.00, 90.00, 90.00 degrees
Space group Immm (No. 71)
Asymmetric unit:
Sm  0.0000  0.0000  0.0000 [2 per cell]
Sm  0.0000  0.2997  0.3541 [8 per cell]
Dy  0.0000  0.5000  0.2307 [4 per cell]
Ho  0.0000  0.1883  0.5000 [4 per cell]
Ho  0.0000  0.5000  0.0968 [4 per cell]

Density functional theory data (PBE) for crystalline KMnW2 at its relaxed geometry.

Summary:
E_tot: -7.029 eV per atom
Density: 7.312 Mg/m³
Formation energy from the elements: 2015 meV/atom

Cell lengths 5.1391, 5.1391, 15.8810 Å; angles 90.00, 90.00, 90.00 degrees
Space group I4_1/amd (No. 141, origin choice 2)
Asymmetric unit:
K  0.0000  0.2500  0.3750 [4 per cell]
Mn  0.0000  0.2500  0.8750 [4 per cell]
W  0.0000  0.0000  0.0000 [8 per cell]

Question: E_tot of number 6 (Tb9PrIn2)?
Answer: -4.489 eV per atom